! UNiAs (PBE-GGA, relaxed); values from VASP
! mass density	11.3	g/cm3
! formation enthalpy at 0 K	-162	kJ/mol of formula units
! total DFT energy (no corrections)	-7.80	eV/atom
&SYSTEM
  ibrav = 0, nat = 6, ntyp = 3
/
ATOMIC_SPECIES
As 74.92 As.upf
Ni 58.69 Ni.upf
U 238.03 U.upf
CELL_PARAMETERS angstrom
4.060 0.000 0.000
-2.030 3.516 0.000
0.000 0.000 7.657
ATOMIC_POSITIONS crystal
As 0.667 0.333 0.250
Ni 0.333 0.667 0.250
Ni 0.667 0.333 0.750
U 0.000 0.000 0.500
As 0.333 0.667 0.750
U 0.000 0.000 0.000

***

! UNiAs2 (PBE-GGA, relaxed); values from VASP
! mass density	10.1	g/cm3
! formation enthalpy at 0 K	-178	kJ/mol of formula units
! total DFT energy (no corrections)	-7.05	eV/atom
&SYSTEM
  ibrav = 0, nat = 8, ntyp = 3
/
ATOMIC_SPECIES
As 74.92 As.upf
U 238.03 U.upf
Ni 58.69 Ni.upf
CELL_PARAMETERS angstrom
4.673 0.000 0.000
0.000 3.985 0.001
0.000 -1.997 7.863
ATOMIC_POSITIONS crystal
As 0.250 0.241 0.481
U 0.750 0.397 0.794
As 0.750 0.040 0.078
As 0.750 0.759 0.519
U 0.250 0.603 0.206
Ni 0.750 0.184 0.369
Ni 0.250 0.816 0.631
As 0.250 0.960 0.922

***

! UNi4As (PBE-GGA, relaxed); values from VASP
! polymorph energy (0 for the lowest one)	0.005	eV per atom
! mass density	10.8	g/cm3
! formation enthalpy at 0 K	-133	kJ/mol of formula units
! total DFT energy (no corrections)	-6.74	eV/atom
&SYSTEM
  ibrav = 0, nat = 12, ntyp = 3
/
ATOMIC_SPECIES
Ni 58.69 Ni.upf
U 238.03 U.upf
As 74.92 As.upf
CELL_PARAMETERS angstrom
3.703 0.000 0.000
0.000 6.531 0.000
0.000 0.000 6.975
ATOMIC_POSITIONS crystal
Ni 0.500 0.310 0.528
Ni 0.500 0.690 0.028
Ni 0.000 0.000 0.000
U 0.000 0.352 0.250
U 0.000 0.648 0.750
As 0.000 0.771 0.250
Ni 0.500 0.690 0.472
Ni 0.500 0.045 0.250
Ni 0.000 0.000 0.500
As 0.000 0.229 0.750
Ni 0.500 0.310 0.972
Ni 0.500 0.955 0.750

***

> The lowest formation enthalpy at 0 K belongs to which entry?

UNiAs2

***

What did the third record say?
! UNi4As (PBE-GGA, relaxed); values from VASP
! polymorph energy (0 for the lowest one)	0.005	eV per atom
! mass density	10.8	g/cm3
! formation enthalpy at 0 K	-133	kJ/mol of formula units
! total DFT energy (no corrections)	-6.74	eV/atom
&SYSTEM
  ibrav = 0, nat = 12, ntyp = 3
/
ATOMIC_SPECIES
Ni 58.69 Ni.upf
U 238.03 U.upf
As 74.92 As.upf
CELL_PARAMETERS angstrom
3.703 0.000 0.000
0.000 6.531 0.000
0.000 0.000 6.975
ATOMIC_POSITIONS crystal
Ni 0.500 0.310 0.528
Ni 0.500 0.690 0.028
Ni 0.000 0.000 0.000
U 0.000 0.352 0.250
U 0.000 0.648 0.750
As 0.000 0.771 0.250
Ni 0.500 0.690 0.472
Ni 0.500 0.045 0.250
Ni 0.000 0.000 0.500
As 0.000 0.229 0.750
Ni 0.500 0.310 0.972
Ni 0.500 0.955 0.750

***

> What is the mass density in the first record?

11.3 g/cm3

***

Repeat the first record exactly.
! UNiAs (PBE-GGA, relaxed); values from VASP
! mass density	11.3	g/cm3
! formation enthalpy at 0 K	-162	kJ/mol of formula units
! total DFT energy (no corrections)	-7.80	eV/atom
&SYSTEM
  ibrav = 0, nat = 6, ntyp = 3
/
ATOMIC_SPECIES
As 74.92 As.upf
Ni 58.69 Ni.upf
U 238.03 U.upf
CELL_PARAMETERS angstrom
4.060 0.000 0.000
-2.030 3.516 0.000
0.000 0.000 7.657
ATOMIC_POSITIONS crystal
As 0.667 0.333 0.250
Ni 0.333 0.667 0.250
Ni 0.667 0.333 0.750
U 0.000 0.000 0.500
As 0.333 0.667 0.750
U 0.000 0.000 0.000